# PrYTmTl | the Alexandria database | PBE-GGA | relaxed
# Energy of formation   -0.0662 eV/atom
# Excess energy over the best structure of this formula in the dataset   115 meV/atom
# Density of states at the Fermi level   5.47 states/eV/f.u.
# Magnetization   1.111 μB per cell
# Final energy   -4.587 eV per atom
data_PrYTmTl
_space_group_name_H-M_alt 'P 1'
_space_group_IT_number 1
_cell_length_a 5.531
_cell_length_b 5.531
_cell_length_c 5.531
_cell_angle_alpha 60.00
_cell_angle_beta 60.00
_cell_angle_gamma 60.00
loop_
_space_group_symop_operation_xyz
'x,y,z'
loop_
_atom_site_label
_atom_site_type_symbol
_atom_site_fract_x
_atom_site_fract_y
_atom_site_fract_z
_atom_site_occupancy
Y1 Y 0.750 0.750 0.750 1
Tm1 Tm 0.000 0.000 0.000 1
Pr1 Pr 0.250 0.250 0.250 1
Tl1 Tl 0.500 0.500 0.500 1

***

# PrCd3Rh | the Alexandria database | PBE-GGA | relaxed
# Energy of formation   -0.3680 eV/atom
# Excess energy over the best structure of this formula in the dataset   0 meV/atom
# Density of states at the Fermi level   2.07 states/eV/f.u.
# Magnetization   0.000 μB per cell
# Final energy   -3.343 eV per atom
data_PrCd3Rh
_space_group_name_H-M_alt 'P 1'
_space_group_IT_number 1
_cell_length_a 7.021
_cell_length_b 5.882
_cell_length_c 5.502
_cell_angle_alpha 90.00
_cell_angle_beta 88.59
_cell_angle_gamma 90.00
loop_
_space_group_symop_operation_xyz
'x,y,z'
loop_
_atom_site_label
_atom_site_type_symbol
_atom_site_fract_x
_atom_site_fract_y
_atom_site_fract_z
_atom_site_occupancy
Cd1 Cd 0.390 0.250 0.600 1
Cd2 Cd 0.306 0.004 0.129 1
Cd3 Cd 0.306 0.496 0.129 1
Cd4 Cd 0.610 0.750 0.400 1
Cd5 Cd 0.694 0.996 0.871 1
Cd6 Cd 0.694 0.504 0.871 1
Rh1 Rh 0.035 0.250 0.841 1
Rh2 Rh 0.965 0.750 0.159 1
Pr1 Pr 0.113 0.750 0.645 1
Pr2 Pr 0.887 0.250 0.355 1

***

# CeI2Br | the Alexandria database | PBE-GGA | relaxed
# Raw formation energy   -1.03 eV/atom
# Excess energy over the best structure of this formula in the dataset   445 meV/atom
# Density of states at the Fermi level   8.52 states/eV/f.u.
# Magnetization   1.000 μB per cell
# Final energy   -3.707 eV per atom
data_CeI2Br
_space_group_name_H-M_alt 'P 1'
_space_group_IT_number 1
_cell_length_a 5.293
_cell_length_b 5.293
_cell_length_c 6.943
_cell_angle_alpha 67.59
_cell_angle_beta 67.59
_cell_angle_gamma 60.00
loop_
_space_group_symop_operation_xyz
'x,y,z'
loop_
_atom_site_label
_atom_site_type_symbol
_atom_site_fract_x
_atom_site_fract_y
_atom_site_fract_z
_atom_site_occupancy
Ce1 Ce 0.000 0.000 0.000 1
I1 I 0.272 0.272 0.184 1
I2 I 0.728 0.728 0.816 1
Br1 Br 0.500 0.500 0.500 1

***

# Ca2MgCr | the Alexandria database | PBE-GGA | relaxed
# Energy of formation   0.4968 eV/atom
# Density of states at the Fermi level   4.24 states/eV/f.u.
# Magnetization   3.805 μB per cell
# Final energy   -3.308 eV per atom
data_Ca2MgCr
_space_group_name_H-M_alt 'P 1'
_space_group_IT_number 1
_cell_length_a 10.784
_cell_length_b 10.784
_cell_length_c 10.784
_cell_angle_alpha 19.42
_cell_angle_beta 19.42
_cell_angle_gamma 19.42
loop_
_space_group_symop_operation_xyz
'x,y,z'
loop_
_atom_site_label
_atom_site_type_symbol
_atom_site_fract_x
_atom_site_fract_y
_atom_site_fract_z
_atom_site_occupancy
Mg1 Mg 0.750 0.750 0.750 1
Cr1 Cr 0.250 0.250 0.250 1
Ca1 Ca 0.505 0.505 0.505 1
Ca2 Ca 0.995 0.995 0.995 1

***

# ScTc7 | the Alexandria database | PBE-GGA | relaxed
# Energy of formation   0.1526 eV/atom
# Density of states at the Fermi level   12.24 states/eV/f.u.
# Magnetization   0.000 μB per cell
# Final energy   -9.709 eV per atom
data_ScTc7
_space_group_name_H-M_alt 'P 1'
_space_group_IT_number 1
_cell_length_a 5.552
_cell_length_b 5.552
_cell_length_c 5.552
_cell_angle_alpha 60.00
_cell_angle_beta 60.00
_cell_angle_gamma 60.00
loop_
_space_group_symop_operation_xyz
'x,y,z'
loop_
_atom_site_label
_atom_site_type_symbol
_atom_site_fract_x
_atom_site_fract_y
_atom_site_fract_z
_atom_site_occupancy
Tc1 Tc 0.000 0.500 0.000 1
Tc2 Tc 0.000 0.000 0.500 1
Tc3 Tc 0.500 0.500 0.000 1
Tc4 Tc 0.500 0.000 0.000 1
Tc5 Tc 0.500 0.000 0.500 1
Tc6 Tc 0.500 0.500 0.500 1
Tc7 Tc 0.000 0.500 0.500 1
Sc1 Sc 0.000 0.000 0.000 1

***

# GeBiAs3 | the Alexandria database | PBE-GGA | relaxed
# Energy of formation   0.5981 eV/atom
# Excess energy over the best structure of this formula in the dataset   0 meV/atom
# Density of states at the Fermi level   5.38 states/eV/f.u.
# Magnetization   0.000 μB per cell
# Final energy   -3.891 eV per atom
data_GeBiAs3
_space_group_name_H-M_alt 'P 1'
_space_group_IT_number 1
_cell_length_a 4.973
_cell_length_b 4.973
_cell_length_c 4.973
_cell_angle_alpha 90.00
_cell_angle_beta 90.00
_cell_angle_gamma 90.00
loop_
_space_group_symop_operation_xyz
'x,y,z'
loop_
_atom_site_label
_atom_site_type_symbol
_atom_site_fract_x
_atom_site_fract_y
_atom_site_fract_z
_atom_site_occupancy
As1 As 0.000 0.500 0.000 1
As2 As 0.000 0.000 0.500 1
As3 As 0.500 0.000 0.000 1
Ge1 Ge 0.000 0.000 0.000 1
Bi1 Bi 0.500 0.500 0.500 1

***

# LiTh2Al3Pt4 | the Alexandria database | PBE-GGA | relaxed
# Energy of formation   -1.0117 eV/atom
# Density of states at the Fermi level   9.41 states/eV/f.u.
# Magnetization   0.000 μB per cell
# Final energy   -6.226 eV per atom
data_LiTh2Al3Pt4
_space_group_name_H-M_alt 'P 1'
_space_group_IT_number 1
_cell_length_a 4.235
_cell_length_b 4.235
_cell_length_c 10.622
_cell_angle_alpha 90.00
_cell_angle_beta 90.00
_cell_angle_gamma 90.00
loop_
_space_group_symop_operation_xyz
'x,y,z'
loop_
_atom_site_label
_atom_site_type_symbol
_atom_site_fract_x
_atom_site_fract_y
_atom_site_fract_z
_atom_site_occupancy
Pt1 Pt 0.000 0.000 0.000 1
Pt2 Pt 0.000 0.500 0.361 1
Pt3 Pt 0.500 0.500 0.000 1
Pt4 Pt 0.500 0.000 0.639 1
Th1 Th 0.500 0.000 0.248 1
Th2 Th 0.000 0.500 0.752 1
Li1 Li 0.500 0.500 0.500 1
Al1 Al 0.500 0.000 0.873 1
Al2 Al 0.000 0.500 0.127 1
Al3 Al 0.000 0.000 0.500 1

***

# CeCuHgRh | the Alexandria database | PBE-GGA | relaxed
# Energy of formation   -0.2538 eV/atom
# Density of states at the Fermi level   4.87 states/eV/f.u.
# Magnetization   0.242 μB per cell
# Final energy   -4.675 eV per atom
data_CeCuHgRh
_space_group_name_H-M_alt 'P 1'
_space_group_IT_number 1
_cell_length_a 4.789
_cell_length_b 4.789
_cell_length_c 4.789
_cell_angle_alpha 60.00
_cell_angle_beta 60.00
_cell_angle_gamma 60.00
loop_
_space_group_symop_operation_xyz
'x,y,z'
loop_
_atom_site_label
_atom_site_type_symbol
_atom_site_fract_x
_atom_site_fract_y
_atom_site_fract_z
_atom_site_occupancy
Rh1 Rh 0.250 0.250 0.250 1
Ce1 Ce 0.000 0.000 0.000 1
Hg1 Hg 0.500 0.500 0.500 1
Cu1 Cu 0.750 0.750 0.750 1

***

# TbDy3Y2As6 | the Alexandria database | PBE-GGA | relaxed
# Energy of formation   -1.5444 eV/atom
# Density of states at the Fermi level   1.82 states/eV/f.u.
# Magnetization   0.000 μB per cell
# Final energy   -6.483 eV per atom
data_TbDy3Y2As6
_space_group_name_H-M_alt 'P 1'
_space_group_IT_number 1
_cell_length_a 7.142
_cell_length_b 7.142
_cell_length_c 7.142
_cell_angle_alpha 99.58
_cell_angle_beta 99.58
_cell_angle_gamma 119.99
loop_
_space_group_symop_operation_xyz
'x,y,z'
loop_
_atom_site_label
_atom_site_type_symbol
_atom_site_fract_x
_atom_site_fract_y
_atom_site_fract_z
_atom_site_occupancy
Y1 Y 0.667 0.333 0.000 1
Y2 Y 0.333 0.667 0.000 1
Dy1 Dy 0.167 0.833 0.500 1
Dy2 Dy 0.833 0.167 0.500 1
Dy3 Dy 0.500 0.500 0.500 1
As1 As 0.916 0.583 0.749 1
As2 As 0.417 0.084 0.251 1
As3 As 0.084 0.417 0.251 1
As4 As 0.750 0.750 0.251 1
As5 As 0.583 0.916 0.749 1
As6 As 0.250 0.250 0.749 1
Tb1 Tb 0.000 0.000 0.000 1

***

# Tl3FeB | the Alexandria database | PBE-GGA | relaxed
# Energy of formation   1.2246 eV/atom
# Excess energy over the best structure of this formula in the dataset   82 meV/atom
# Density of states at the Fermi level   4.12 states/eV/f.u.
# Magnetization   1.788 μB per cell
# Final energy   -3.223 eV per atom
data_Tl3FeB
_space_group_name_H-M_alt 'P 1'
_space_group_IT_number 1
_cell_length_a 5.084
_cell_length_b 5.084
_cell_length_c 5.084
_cell_angle_alpha 90.00
_cell_angle_beta 90.00
_cell_angle_gamma 90.00
loop_
_space_group_symop_operation_xyz
'x,y,z'
loop_
_atom_site_label
_atom_site_type_symbol
_atom_site_fract_x
_atom_site_fract_y
_atom_site_fract_z
_atom_site_occupancy
B1 B 0.500 0.500 0.500 1
Tl1 Tl 0.000 0.500 0.000 1
Tl2 Tl 0.500 0.000 0.000 1
Tl3 Tl 0.000 0.000 0.500 1
Fe1 Fe 0.000 0.000 0.000 1

***

# PmGe4Pb | the Alexandria database | PBE-GGA | relaxed
# Energy of formation   -0.1524 eV/atom
# Density of states at the Fermi level   2.60 states/eV/f.u.
# Magnetization   0.000 μB per cell
# Final energy   -4.640 eV per atom
data_PmGe4Pb
_space_group_name_H-M_alt 'P 1'
_space_group_IT_number 1
_cell_length_a 5.740
_cell_length_b 5.740
_cell_length_c 5.740
_cell_angle_alpha 60.00
_cell_angle_beta 60.00
_cell_angle_gamma 60.00
loop_
_space_group_symop_operation_xyz
'x,y,z'
loop_
_atom_site_label
_atom_site_type_symbol
_atom_site_fract_x
_atom_site_fract_y
_atom_site_fract_z
_atom_site_occupancy
Ge1 Ge 0.127 0.624 0.624 1
Ge2 Ge 0.624 0.127 0.624 1
Ge3 Ge 0.624 0.624 0.624 1
Ge4 Ge 0.624 0.624 0.127 1
Pb1 Pb 0.250 0.250 0.250 1
Pm1 Pm 0.000 0.000 0.000 1

***

# Pm2Sm2Br7 | the Alexandria database | PBE-GGA | relaxed
# Raw formation energy   -1.38 eV/atom
# Density of states at the Fermi level   7.98 states/eV/f.u.
# Magnetization   0.159 μB per cell
# Final energy   -4.162 eV per atom
data_Pm2Sm2Br7
_space_group_name_H-M_alt 'P 1'
_space_group_IT_number 1
_cell_length_a 7.878
_cell_length_b 7.555
_cell_length_c 7.555
_cell_angle_alpha 109.15
_cell_angle_beta 88.72
_cell_angle_gamma 88.72
loop_
_space_group_symop_operation_xyz
'x,y,z'
loop_
_atom_site_label
_atom_site_type_symbol
_atom_site_fract_x
_atom_site_fract_y
_atom_site_fract_z
_atom_site_occupancy
Br1 Br 0.000 0.000 0.000 1
Br2 Br 0.291 0.995 0.592 1
Br3 Br 0.218 0.369 0.369 1
Br4 Br 0.782 0.631 0.631 1
Br5 Br 0.291 0.592 0.995 1
Br6 Br 0.709 0.005 0.408 1
Br7 Br 0.709 0.408 0.005 1
Pm1 Pm 0.500 0.356 0.644 1
Pm2 Pm 0.500 0.644 0.356 1
Sm1 Sm 0.847 0.297 0.297 1
Sm2 Sm 0.153 0.703 0.703 1

***

# DyYTm6 | the Alexandria database | PBE-GGA | relaxed
# Energy of formation   0.2146 eV/atom
# Excess energy over the best structure of this formula in the dataset   188 meV/atom
# Density of states at the Fermi level   14.13 states/eV/f.u.
# Magnetization   0.000 μB per cell
# Final energy   -4.522 eV per atom
data_DyYTm6
_space_group_name_H-M_alt 'P 1'
_space_group_IT_number 1
_cell_length_a 6.680
_cell_length_b 6.492
_cell_length_c 6.863
_cell_angle_alpha 76.46
_cell_angle_beta 60.50
_cell_angle_gamma 89.61
loop_
_space_group_symop_operation_xyz
'x,y,z'
loop_
_atom_site_label
_atom_site_type_symbol
_atom_site_fract_x
_atom_site_fract_y
_atom_site_fract_z
_atom_site_occupancy
Tm1 Tm 0.907 0.231 0.520 1
Tm2 Tm 0.550 0.750 0.000 1
Tm3 Tm 0.428 0.271 0.478 1
Tm4 Tm 0.450 0.250 0.000 1
Tm5 Tm 0.572 0.729 0.522 1
Tm6 Tm 0.093 0.769 0.480 1
Dy1 Dy 0.000 0.500 0.000 1
Y1 Y 0.000 0.000 0.000 1